(1)
Density functional theory data (GGA-PBE) for crystalline NbAl3 at its relaxed geometry.

Geometry as POSCAR:
```
NbAl3
1.0
4.730 0.000 0.000
0.000 2.819 0.000
0.000 0.000 4.958
Nb Al
1 3
Direct
0.500 0.000 0.677
0.000 0.000 0.996
0.000 0.500 0.491
0.500 0.500 0.170
```

Results
Calculated volume   66.1 Å³/f.u.
Final energy   -22.3 eV/cell
Space-group type   Pmm2 (25)

---

(2)
Density functional theory data (GGA-PBE) for crystalline CaPaAu2 at its relaxed geometry.

Geometry as POSCAR:
```
CaPaAu2
1.0
5.123 0.000 0.000
2.562 4.437 0.000
2.562 1.479 4.183
Ca Pa Au
1 1 2
Direct
0.500 0.500 0.500
0.000 0.000 0.000
0.250 0.250 0.250
0.750 0.750 0.750
```

Results
Energy above the lowest structure with this stoichiometry   0.071 eV per atom
Calculated volume   95.1 Å³/f.u.
Final energy   -19.7 eV/cell
Space-group type   Fm-3m (225)

---

(3)
Density functional theory data (GGA-PBE) for crystalline LiTlW2 at its relaxed geometry.

Geometry as POSCAR:
```
LiTlW2
1.0
-3.636 0.898 0.122
-0.906 -3.620 -0.339
-2.169 -2.351 10.202
Tl W Li
2 4 2
Direct
0.000 0.000 0.000
0.750 0.250 0.500
0.618 0.125 0.250
0.132 0.625 0.250
0.375 0.382 0.750
0.875 0.868 0.750
0.500 0.500 0.000
0.250 0.750 0.500
```

Results
Energy above the lowest structure with this stoichiometry   0.452 eV per atom
Calculated volume   72.7 Å³/f.u.
Final energy   -53.3 eV/cell
Space-group type   I-42d (122)

---

(4)
Density functional theory data (GGA-PBE) for crystalline MgMoC3 at its relaxed geometry.

Geometry as POSCAR:
```
MgMoC3
1.0
-3.722 0.271 -1.112
-0.726 -3.483 1.583
-0.884 1.720 3.380
C Mo Mg
3 1 1
Direct
0.000 0.500 0.000
0.000 0.000 0.500
0.500 0.000 0.000
0.500 0.500 0.500
0.000 0.000 0.000
```

Results
Energy above the lowest structure with this stoichiometry   1.452 eV per atom
Calculated volume   59.1 Å³/f.u.
Final energy   -25.1 eV/cell
Space-group type   Pm-3m (221)

---

(5)
Density functional theory data (GGA-PBE) for crystalline ZnHgPdN2 at its relaxed geometry.

Geometry as POSCAR:
```
ZnHgPdN2
1.0
-3.244 1.661 -2.012
-2.723 -4.776 0.447
-1.607 1.256 3.629
Zn Hg Pd N
1 1 1 2
Direct
0.500 0.500 0.500
0.000 0.000 0.000
0.000 0.500 0.000
0.000 0.000 0.500
0.500 0.000 0.000
```

Results
Calculated volume   95.6 Å³/f.u.
Formation energy (no corrections)   1.913 eV per atom
Final energy   -13.9 eV/cell
Space-group type   P4/mmm (123)

---

(6)
Density functional theory data (GGA-PBE) for crystalline Tl2Fe2I7 at its relaxed geometry.

Geometry as POSCAR:
```
Tl2Fe2I7
1.0
7.251 -0.036 0.000
-1.281 8.625 0.000
0.000 0.000 16.583
Tl Fe I
4 4 14
Direct
0.631 0.964 0.157
0.369 0.536 0.657
0.369 0.036 0.843
0.631 0.464 0.343
0.828 0.640 0.889
0.172 0.360 0.111
0.828 0.140 0.611
0.172 0.860 0.389
0.000 0.000 0.500
0.000 0.500 0.000
0.270 0.111 0.052
0.730 0.389 0.552
0.730 0.889 0.948
0.270 0.611 0.448
0.048 0.223 0.730
0.048 0.723 0.770
0.952 0.277 0.230
0.952 0.777 0.270
0.539 0.949 0.656
0.539 0.449 0.844
0.461 0.551 0.156
0.461 0.051 0.344
```

Results
Calculated volume   518.2 Å³/f.u.
Formation energy (no corrections)   -0.311 eV per atom
Final energy   -71.9 eV/cell
Space-group type   P2_1/c (14)

---

(7)
Density functional theory data (GGA-PBE) for crystalline Rb3Dy2RhO6 at its relaxed geometry.

Geometry as POSCAR:
```
Rb3Dy2RhO6
1.0
5.895 0.001 0.002
-2.945 5.106 0.002
-0.981 -1.699 6.486
Rb Dy Rh O
3 2 1 6
Direct
0.163 0.837 0.500
0.837 0.163 0.500
0.500 0.500 0.500
0.333 0.667 0.000
0.667 0.333 0.000
0.000 0.000 0.000
0.941 0.622 0.824
0.738 0.738 0.176
0.059 0.378 0.176
0.622 0.941 0.824
0.262 0.262 0.824
0.378 0.059 0.176
```

Results
Calculated volume   195.3 Å³/f.u.
Formation energy (no corrections)   -2.056 eV per atom
Final energy   -73.9 eV/cell
Space-group type   C2/m (12)

---

(8)
Density functional theory data (GGA-PBE) for crystalline WC2 at its relaxed geometry.

Geometry as POSCAR:
```
WC2
1.0
1.954 -3.385 0.000
1.954 3.385 0.000
0.000 0.000 4.187
W C
2 4
Direct
0.667 0.333 0.250
0.333 0.667 0.750
0.000 0.000 0.000
0.000 0.000 0.500
0.333 0.667 0.250
0.667 0.333 0.750
```

Results
Energy above the lowest structure with this stoichiometry   1.117 eV per atom
Calculated volume   27.7 Å³/f.u.
Final energy   -53.0 eV/cell
Space-group type   P6_3/mmc (194)

---

(9)
Density functional theory data (GGA-PBE) for crystalline Mo3Ru5 at its relaxed geometry.

Geometry as POSCAR:
```
Mo3Ru5
1.0
5.504 0.000 0.000
0.087 5.503 0.000
0.000 0.000 3.870
Mo Ru
3 5
Direct
0.500 0.500 0.000
0.241 0.241 0.500
0.759 0.759 0.500
0.000 0.000 0.000
0.000 0.500 0.000
0.500 0.000 0.000
0.751 0.249 0.500
0.249 0.751 0.500
```

Results
Energy above the lowest structure with this stoichiometry   0.000 eV per atom
Calculated volume   117.2 Å³/f.u.
Final energy   -78.5 eV/cell
Space-group type   Cmmm (65)

---

(10)
Density functional theory data (GGA-PBE) for crystalline CrIn2Si at its relaxed geometry.

Geometry as POSCAR:
```
CrIn2Si
1.0
-0.489 2.530 2.662
-2.079 -2.442 1.938
2.496 -4.284 4.530
Cr In Si
1 2 1
Direct
0.500 0.750 0.750
0.000 0.000 0.999
0.000 0.500 0.501
0.500 0.250 0.250
```

Results
Energy above the lowest structure with this stoichiometry   0.223 eV per atom
Calculated volume   77.4 Å³/f.u.
Formation energy (no corrections)   0.446 eV per atom
Final energy   -18.7 eV/cell
Space-group type   Pmmm (47)

---

(11)
Density functional theory data (GGA-PBE) for crystalline MgCo3 at its relaxed geometry.

Geometry as POSCAR:
```
MgCo3
1.0
-2.663 2.521 3.645
-1.135 -4.951 -0.969
2.794 -1.203 2.873
Mg Co
2 6
Direct
0.090 0.910 0.750
0.910 0.090 0.250
0.586 0.414 0.750
0.089 0.426 0.750
0.574 0.911 0.750
0.414 0.586 0.250
0.911 0.574 0.250
0.426 0.089 0.250
```

Results
Calculated volume   48.9 Å³/f.u.
Final energy   -44.4 eV/cell
Space-group type   Cmcm (63)

---

(12)
Density functional theory data (GGA-PBE) for crystalline AcEr2Pb at its relaxed geometry.

Geometry as POSCAR:
```
AcEr2Pb
1.0
4.908 0.000 0.000
0.000 4.755 -0.943
0.000 -0.138 11.716
Ac Er Pb
2 4 2
Direct
0.250 0.310 0.618
0.750 0.690 0.382
0.750 0.448 0.896
0.250 0.552 0.104
0.250 0.941 0.882
0.750 0.059 0.118
0.750 0.845 0.689
0.250 0.155 0.311
```

Results
Energy above the lowest structure with this stoichiometry   0.000 eV per atom
Calculated volume   136.4 Å³/f.u.
Final energy   -36.4 eV/cell
Space-group type   P2_1/m (11)

---

> Which of these has the highest final energy?

ZnHgPdN2